Entry from the Alexandria database: crystalline RbGa2SiSe at its relaxed geometry (GGA-PBEsol).

a = 5.568 Å, b = 5.568 Å, c = 5.712 Å
α = 90.00°, β = 90.00°, γ = 90.00°
Fractional positions:
1 Rb 0.000 0.000 0.000
2 Ga 0.000 0.500 0.000
3 Ga 0.500 0.000 0.000
4 Si 0.500 0.500 0.500
5 Se 0.000 0.000 0.500

## Properties
The space group is P4/mmm (123). The size of the total moment is 0.00 μB/cell. The uncorrected formation energy is 1.3891 eV/atom.

Entry from the Alexandria database: crystalline MgCr3Ag at its relaxed geometry (GGA-PBEsol).

a = 4.925 Å, b = 4.925 Å, c = 4.925 Å
α = 90.00°, β = 90.00°, γ = 90.00°
Fractional positions:
1 Mg 0.000 0.000 0.000
2 Cr 0.000 0.500 0.500
3 Cr 0.500 0.000 0.500
4 Cr 0.500 0.500 0.000
5 Ag 0.500 0.500 0.500

## Properties
The space group is Pm-3m (221). The size of the total moment is 13.20 μB/cell. The value obtained for the total energy is -5.561 eV per atom.